1.
The following is a GGA-PBE calculation of a relaxed structure of CrOs3, from the Alexandria database.

Lattice parameters (Å, degrees): 4.6618 4.6618 2.7064 90.00 90.00 109.36
With the nearest neighbours (Å) after each atom.
Element x y z (fractional)
Os1 0.5000 0.5000 0.0000  2 Cr 2.70, 10 Os 2.70-2.71
Cr1 0.0000 0.0000 0.0000  10 Os 2.70, 2 Cr 2.71
Os2 0.0000 0.5000 0.5000  8 Os 2.70-2.71, 4 Cr 2.70
Os3 0.5000 0.0000 0.5000  8 Os 2.70-2.71, 4 Cr 2.70

Output
The space group is Cmmm (65). The calculation puts the formation energy at 0.108 eV per atom. For the density, the calculation gives 18.634 g cm⁻³.


2.
The following is a GGA-PBE calculation of a relaxed structure of NpS2Br, from the Alexandria database.

Lattice parameters (Å, degrees): 4.2932 4.2932 7.7018 73.82 73.82 60.00
With the nearest neighbours (Å) after each atom.
Element x y z (fractional)
Np1 0.6515 0.6515 0.0456  6 S 2.59-2.77, 1 Br 2.78
S1 0.2831 0.2831 0.1506  3 Np 2.59
S2 0.0411 0.0411 0.8767  3 Np 2.77
Br1 0.5243 0.5243 0.4271  1 Np 2.78

Output
The space group is R3m (160). As for the polymorph energy (0 for the lowest one): 0 meV/atom. For the formation energy (no corrections), the calculation gives -3.7 eV per formula unit. For the density, the calculation gives 5.436 g cm⁻³.


3.
The following is a GGA-PBE calculation of a relaxed structure of La3Ce2HoAs6, from the Alexandria database.

Lattice parameters (Å, degrees): 7.4015 7.4015 7.4218 99.57 99.57 120.00
With the nearest neighbours (Å) after each atom.
Element x y z (fractional)
Ce1 0.6665 0.3335 0.0000  6 As 2.98
La1 0.1671 0.8329 0.5000  6 As 3.07-3.08
Ce2 0.3335 0.6665 0.0000  6 As 2.98
As1 0.7481 0.7481 0.2384  1 Ho 2.97, 2 Ce 2.98, 3 La 3.07-3.08
As2 0.2519 0.2519 0.7616  1 Ho 2.97, 2 Ce 2.98, 3 La 3.07-3.08
As3 0.4105 0.0790 0.2373  1 Ho 2.96, 2 Ce 2.98, 3 La 3.07-3.08
Ho1 0.0000 0.0000 0.0000  6 As 2.96-2.97
As4 0.0790 0.4105 0.2373  1 Ho 2.96, 2 Ce 2.98, 3 La 3.07-3.08
As5 0.5895 0.9210 0.7627  1 Ho 2.96, 2 Ce 2.98, 3 La 3.07-3.08
La2 0.5000 0.5000 0.5000  6 As 3.07-3.08
La3 0.8329 0.1671 0.5000  6 As 3.07-3.08
As6 0.9210 0.5895 0.7627  1 Ho 2.96, 2 Ce 2.98, 3 La 3.07-3.08

Output
The space group is C2/m (12). The calculation puts the formation energy at -1.512 eV per atom. For the density, the calculation gives 6.557 g cm⁻³.


4.
The following is a GGA-PBE calculation of a relaxed structure of Sm7YSc3, from the Alexandria database.

Lattice parameters (Å, degrees): 5.7869 8.3056 8.3056 85.34 110.41 110.41
With the nearest neighbours (Å) after each atom.
Element x y z (fractional)
Sm1 0.6892 0.3977 0.9807  2 Sc 3.11-3.46, 2 Sm 3.31
Y1 0.5000 0.5000 0.5000  2 Sm 2.89
Sc1 0.0000 0.7884 0.2116  9 Sm 3.18-3.54
Sm2 0.1959 0.1953 0.1953  2 Sc 3.18, 1 Y 3.28, 2 Sm 3.51
Sm3 0.0000 0.5000 0.5000  2 Y 2.89
Sm4 0.3108 0.6023 0.0193  2 Sc 3.11-3.46, 2 Sm 3.31
Sm5 0.8041 0.8047 0.8047  2 Sc 3.18, 1 Y 3.28, 2 Sm 3.51
Sc2 0.0000 0.2116 0.7884  9 Sm 3.18-3.54
Sm6 0.3108 0.0193 0.6023  2 Sc 3.11-3.46, 2 Sm 3.31
Sm7 0.6892 0.9807 0.3977  2 Sc 3.11-3.46, 2 Sm 3.31
Sc3 0.5000 0.0000 0.0000  4 Sm 3.11

Output
The space group is Immm (71). The calculation puts the formation energy at 0.245 eV per atom. For the density, the calculation gives 6.050 g cm⁻³.


5.
The following is a GGA-PBE calculation of a relaxed structure of TaSbIr2, from the Alexandria database.

Lattice parameters (Å, degrees): 9.0401 9.0401 9.0401 19.03 19.03 19.03
With the nearest neighbours (Å) after each atom.
Element x y z (fractional)
Ir1 0.2485 0.2485 0.2485  3 Sb 2.70, 9 Ir 2.86-2.99
Sb1 0.5037 0.5037 0.5037  3 Ir 2.70, 3 Ta 2.96, 6 Sb 2.99
Ta1 0.7468 0.7468 0.7468  3 Ir 2.72, 3 Sb 2.96, 6 Ta 2.99
Ir2 0.0010 0.0010 0.0010  3 Ta 2.72, 9 Ir 2.86-2.99

Output
The space group is R3m (160). For the formation energy (no corrections), the calculation gives 0.7 eV per formula unit. For the density, the calculation gives 16.620 g cm⁻³.


6.
The following is a GGA-PBE calculation of a relaxed structure of BaNaN2F, from the Alexandria database.

Lattice parameters (Å, degrees): 4.5658 4.5658 4.2691 90.00 90.00 90.00
With the nearest neighbours (Å) after each atom.
Element x y z (fractional)
Ba1 0.5000 0.5000 0.5000  8 N 3.13, 4 F 3.23
F1 0.0000 0.0000 0.5000  2 Na 2.13
N1 0.5000 0.0000 0.0000  2 Na 2.28
Na1 0.0000 0.0000 0.0000  2 F 2.13, 4 N 2.28
N2 0.0000 0.5000 0.0000  2 Na 2.28

Output
The space group is P4/mmm (123). As for the polymorph energy (0 for the lowest one): 0 meV/atom. For the formation energy (no corrections), the calculation gives -0.2 eV per formula unit. For the density, the calculation gives 3.869 g cm⁻³.